Here is Li2Y2Al5Pd after structural relaxation from Alexandria via LeMat-Bulk. Energies are from PBE.

## Properties
Formation energy from the elements, meV per atom: -375
Space-group type: P4/mbm, No. 127
E_tot, eV/atom: -4.44
Total moment, μB/cell: 0.0

Cell lengths 10.1790, 10.1790, 3.5138 Å; angles 90.00, 90.00, 90.00 degrees
Positions (direct):
1 Li 0.1254 0.3746 0.0000
2 Li 0.3746 0.8746 0.0000
3 Li 0.6254 0.1254 0.0000
4 Li 0.8746 0.6254 0.0000
5 Y 0.1777 0.6777 0.0000
6 Y 0.3223 0.1777 0.0000
7 Y 0.6777 0.8223 0.0000
8 Y 0.8223 0.3223 0.0000
9 Al 0.0000 0.5000 0.5000
10 Al 0.0524 0.1911 0.5000
11 Al 0.1911 0.9476 0.5000
12 Al 0.3089 0.4476 0.5000
13 Al 0.4476 0.6911 0.5000
14 Al 0.5000 0.0000 0.5000
15 Al 0.5524 0.3089 0.5000
16 Al 0.6911 0.5524 0.5000
17 Al 0.8089 0.0524 0.5000
18 Al 0.9476 0.8089 0.5000
19 Pd 0.0000 0.0000 0.0000
20 Pd 0.5000 0.5000 0.0000